A plane-wave DFT calculation with PBE-GGA was carried out for a geometry-optimized La2Bi2Br structure.

abc: 8.526 8.526 4.592
angles: 90.00 90.00 90.00
Positions (direct):
Bi1 0.129 0.629 0.500
Bi2 0.629 0.871 0.500
Bi3 0.871 0.371 0.500
Bi4 0.371 0.129 0.500
Br1 0.000 0.000 0.000
Br2 0.500 0.500 0.000
La1 0.326 0.826 0.000
La2 0.826 0.674 0.000
La3 0.674 0.174 0.000
La4 0.174 0.326 0.000

Properties
N(E_F) in states/eV per cell: 7.8
Raw formation energy in kJ per mole of atoms: -109